5
Lattice="-1.8782 4.4353 -1.4901 -1.5464 -2.1039 -4.3131 -4.4160 -1.1497 2.1441" Properties=species:S:1:pos:R:3 comment="Pr3MnO, relaxed, DFT PBE with a Hubbard U" e_tot_ev_per_atom=-6.358 m_tot_mub_per_fu=4.58 space_group="No. 221" vol_a3_per_atom=25.633 crystal_system=cubic pbc="T T T"
Pr -0.7732 -1.0519 -2.1565
Pr -2.2080 -0.5748 1.0721
Pr -0.9391 2.2177 -0.7451
Mn -3.9203 0.5909 -1.8295
O 0.0000 0.0000 0.0000